[1]
# LaTb2Pd2

Crystalline LaTb2Pd2 at its relaxed geometry (GGA-PBE, the Alexandria database).

Structure (CIF):
```
data_LaTb2Pd2
_chemical_formula_sum 'La2 Tb4 Pd4'
_symmetry_space_group_name_H-M 'P 4/m b m'
_symmetry_Int_Tables_number 127
_symmetry_space_group_name_Hall '-P 4 2ab'
_cell_length_a 8.015
_cell_length_b 8.015
_cell_length_c 3.922
_cell_angle_alpha 90.00
_cell_angle_beta 90.00
_cell_angle_gamma 90.00
loop_
_atom_site_label
_atom_site_type_symbol
_atom_site_fract_x
_atom_site_fract_y
_atom_site_fract_z
La1 La 0.000 0.000 0.000
Tb1 Tb 0.161 0.339 0.500
Pd1 Pd 0.129 0.629 0.000
```

Output
The energy above the lowest structure with this stoichiometry is 0.000 eV/atom.

***

[2]
# Tb6Mn23

Crystalline Tb6Mn23 at its relaxed geometry (GGA-PBE, the Alexandria database).

Structure (CIF):
```
data_Tb6Mn23
_chemical_formula_sum 'Tb24 Mn92'
_symmetry_space_group_name_H-M 'F m -3 m'
_symmetry_Int_Tables_number 225
_symmetry_space_group_name_Hall '-F 4 2 3'
_cell_length_a 12.045
_cell_length_b 12.045
_cell_length_c 12.045
_cell_angle_alpha 90.00
_cell_angle_beta 90.00
_cell_angle_gamma 90.00
loop_
_atom_site_label
_atom_site_type_symbol
_atom_site_fract_x
_atom_site_fract_y
_atom_site_fract_z
Tb1 Tb 0.000 0.000 0.205
Mn1 Mn 0.000 0.000 0.500
Mn2 Mn 0.000 0.250 0.250
Mn3 Mn 0.122 0.122 0.378
Mn4 Mn 0.178 0.178 0.178
```

***

[3]
# Na5Tl2Bi

Crystalline Na5Tl2Bi at its relaxed geometry (GGA-PBE, the Alexandria database).

Structure (CIF):
```
data_Na5Tl2Bi
_chemical_formula_sum 'Na20 Tl8 Bi4'
_symmetry_space_group_name_H-M 'I 4/m c m'
_symmetry_Int_Tables_number 140
_symmetry_space_group_name_Hall '-I 4 2c'
_cell_length_a 8.187
_cell_length_b 8.187
_cell_length_c 14.906
_cell_angle_alpha 90.00
_cell_angle_beta 90.00
_cell_angle_gamma 90.00
loop_
_atom_site_label
_atom_site_type_symbol
_atom_site_fract_x
_atom_site_fract_y
_atom_site_fract_z
Na1 Na 0.000 0.000 0.000
Na2 Na 0.170 0.330 0.158
Tl1 Tl 0.129 0.371 0.500
Bi1 Bi 0.000 0.000 0.250
```

***

[4]
# CsCd2Pb2

Crystalline CsCd2Pb2 at its relaxed geometry (GGA-PBE, the Alexandria database).

Structure (CIF):
```
data_CsCd2Pb2
_chemical_formula_sum 'Cs2 Cd4 Pb4'
_symmetry_space_group_name_H-M 'P 4/m b m'
_symmetry_Int_Tables_number 127
_symmetry_space_group_name_Hall '-P 4 2ab'
_cell_length_a 9.678
_cell_length_b 9.678
_cell_length_c 3.509
_cell_angle_alpha 90.00
_cell_angle_beta 90.00
_cell_angle_gamma 90.00
loop_
_atom_site_label
_atom_site_type_symbol
_atom_site_fract_x
_atom_site_fract_y
_atom_site_fract_z
Cs1 Cs 0.000 0.000 0.000
Cd1 Cd 0.132 0.368 0.000
Pb1 Pb 0.152 0.652 0.500
```

Output
The energy above the lowest structure with this stoichiometry is 0.099 eV/atom.

***

no.,M_tot (μB/cell),raw total energy (eV/atom),energy relative to the elements (meV/atom)
1,0.00,-5.58,-662
2,54.46,-8.18,48
3,0.00,-2.06,-159
4,0.00,-2.02,2